Entry 1:
Compound: Li6Tl2Rh3
Source: Alexandria via LeMat-Bulk
Functional: GGA-PBE
Structure: relaxed

Calculated values
The crystal system is orthorhombic. Its electronic total energy is -75.83 eV/cell. The energy relative to the elements is 32.1 meV per atom. The calculation puts the density at 6.2 g cm⁻³. Its total magnetic moment is 0.1 μB/f.u. As for the volume: 18.48 Å³ per atom.

Unit cell a=10.6478 b=12.9310 c=2.9524 alpha=90.00 beta=90.00 gamma=90.00
With the nearest neighbours (Å) after each atom.
Space group Cmmm (No. 65)
Asymmetric unit:
Li1 0.1180 0.0000 0.0000 (multiplicity 4)  2 Rh 2.44, 1 Li 2.51
Li2 0.1495 0.3385 0.0000 (multiplicity 8)  3 Rh 2.61-2.63
Tl1 0.0000 0.1702 0.5000 (multiplicity 4)  8 Li 2.93-3.07, 2 Tl 2.95
Rh1 0.0000 0.5000 0.0000 (multiplicity 2)  4 Rh 2.58, 4 Li 2.63
Rh2 0.1991 0.5000 0.5000 (multiplicity 4)  6 Li 2.44-2.61, 2 Rh 2.58

Entry 2:
Compound: Li14TlRh
Source: Alexandria via LeMat-Bulk
Functional: GGA-PBE
Structure: relaxed

Calculated values
The crystal system is tetragonal. Its electronic total energy is -37.57 eV/cell. The energy relative to the elements is -65.9 meV per atom. The calculation puts the density at 2.4 g cm⁻³. Its total magnetic moment is 0.0 μB/f.u. As for the volume: 17.81 Å³ per atom.

Unit cell a=6.6969 b=6.6969 c=6.3550 alpha=90.00 beta=90.00 gamma=90.00
With the nearest neighbours (Å) after each atom.
Space group P4/mmm (No. 123)
Asymmetric unit:
Li1 0.0000 0.0000 0.0000 (multiplicity 1)  8 Li 2.79
Li2 0.0000 0.5000 0.0000 (multiplicity 2)  10 Li 2.94-3.18
Li3 0.0000 0.5000 0.5000 (multiplicity 2)  8 Li 2.78
Li4 0.2305 0.2305 0.2722 (multiplicity 8)  1 Rh 2.62, 4 Li 2.78-2.90, 1 Tl 2.93
Li5 0.5000 0.5000 0.0000 (multiplicity 1)  12 Li 3.08-3.35, 2 Tl 3.18
Tl1 0.5000 0.5000 0.5000 (multiplicity 1)  10 Li 2.93-3.18
Rh1 0.0000 0.0000 0.5000 (multiplicity 1)  8 Li 2.62

Entry 3:
Compound: LiTl2Rh
Source: Alexandria via LeMat-Bulk
Functional: GGA-PBE
Structure: relaxed

Calculated values
The crystal system is trigonal. Its electronic total energy is -41.77 eV/cell. The energy relative to the elements is 18.8 meV per atom. The calculation puts the density at 10.3 g cm⁻³. Its total magnetic moment is 0.0 μB/f.u. As for the volume: 20.84 Å³ per atom.

Unit cell a=3.3305 b=3.3305 c=26.0315 alpha=90.00 beta=90.00 gamma=120.00
With the nearest neighbours (Å) after each atom.
Space group R-3m (No. 166, hexagonal axes)
Asymmetric unit:
Li1 0.0000 0.0000 0.0000 (multiplicity 3)  6 Tl 2.98, 6 Li 3.33
Tl1 0.0000 0.0000 0.2459 (multiplicity 6)  3 Rh 2.82, 3 Li 2.98
Rh1 0.0000 0.0000 0.5000 (multiplicity 3)  6 Tl 2.82

Entry 4:
Compound: Li7TlRh2
Source: Alexandria via LeMat-Bulk
Functional: GGA-PBE
Structure: relaxed

Calculated values
The crystal system is orthorhombic. Its electronic total energy is -57.16 eV/cell. The energy relative to the elements is 188.5 meV per atom. The calculation puts the density at 3.8 g cm⁻³. Its total magnetic moment is 0.0 μB/f.u. As for the volume: 20.07 Å³ per atom.

Unit cell a=7.0300 b=11.8011 c=4.8378 alpha=90.00 beta=90.00 gamma=90.00
With the nearest neighbours (Å) after each atom.
Space group Cmmm (No. 65)
Asymmetric unit:
Li1 0.0000 0.0000 0.0000 (multiplicity 2)  2 Rh 2.50, 4 Li 2.62
Li2 0.0000 0.1910 0.5000 (multiplicity 4)  2 Rh 2.43
Li3 0.1864 0.3805 0.0000 (multiplicity 8)  2 Rh 2.38-2.46, 2 Li 2.62
Tl1 0.0000 0.5000 0.5000 (multiplicity 2)  8 Li 3.09
Rh1 0.0000 0.2121 0.0000 (multiplicity 4)  7 Li 2.38-2.50

Entry 5:
Compound: Li4Tl5Rh
Source: Alexandria via LeMat-Bulk
Functional: GGA-PBE
Structure: relaxed

Calculated values
The crystal system is tetragonal. Its electronic total energy is -28.45 eV/cell. The energy relative to the elements is -161.3 meV per atom. The calculation puts the density at 9.4 g cm⁻³. Its total magnetic moment is 0.2 μB/f.u. As for the volume: 20.40 Å³ per atom.

Unit cell a=3.4119 b=3.4119 c=17.5245 alpha=90.00 beta=90.00 gamma=90.00
With the nearest neighbours (Å) after each atom.
Space group P4/mmm (No. 123)
Asymmetric unit:
Li1 0.0000 0.0000 0.1053 (multiplicity 2)  8 Tl 3.02-3.04
Li2 0.0000 0.0000 0.3139 (multiplicity 2)  8 Tl 2.92-3.03, 1 Rh 3.26
Tl1 0.5000 0.5000 0.0000 (multiplicity 1)  8 Li 3.04
Tl2 0.5000 0.5000 0.2093 (multiplicity 2)  8 Li 3.02-3.03
Tl3 0.5000 0.5000 0.4078 (multiplicity 2)  4 Rh 2.90, 4 Li 2.92, 1 Tl 3.23
Rh1 0.0000 0.0000 0.5000 (multiplicity 1)  8 Tl 2.90

Entry 6:
Compound: LiTlRh
Source: Alexandria via LeMat-Bulk
Functional: GGA-PBE
Structure: relaxed

Calculated values
The crystal system is trigonal. Its electronic total energy is -11.36 eV/cell. The energy relative to the elements is 90.3 meV per atom. The calculation puts the density at 9.5 g cm⁻³. Its total magnetic moment is 0.0 μB/f.u. As for the volume: 18.38 Å³ per atom.

Unit cell a=3.1127 b=3.1127 c=6.5698 alpha=90.00 beta=90.00 gamma=120.00
With the nearest neighbours (Å) after each atom.
Space group P3m1 (No. 156)
Asymmetric unit:
Li1 0.0000 0.0000 0.0000 (multiplicity 1)  3 Rh 2.63
Tl1 0.3333 0.6667 0.6238 (multiplicity 1)  3 Rh 2.82, 3 Li 3.06, 6 Tl 3.11
Rh1 0.6667 0.3333 0.2930 (multiplicity 1)  3 Li 2.63, 3 Tl 2.82

Entry 7:
Compound: Li4Tl4Rh3
Source: Alexandria via LeMat-Bulk
Functional: GGA-PBE
Structure: relaxed

Calculated values
The crystal system is monoclinic. Its electronic total energy is -80.74 eV/cell. The energy relative to the elements is -108.8 meV per atom. The calculation puts the density at 10.0 g cm⁻³. Its total magnetic moment is 0.0 μB/f.u. As for the volume: 17.41 Å³ per atom.

Unit cell a=4.7398 b=4.7386 c=17.2156 alpha=90.00 beta=97.82 gamma=90.00
With the nearest neighbours (Å) after each atom.
Space group C2/m (No. 12)
Asymmetric unit:
Li1 0.0963 0.0000 0.1934 (multiplicity 4)  4 Rh 2.69, 5 Tl 2.85-2.87
Li2 0.2251 0.5000 0.4514 (multiplicity 4)  4 Tl 2.83, 4 Li 2.89-2.90, 1 Rh 3.13
Tl1 0.0498 0.5000 0.0989 (multiplicity 4)  4 Li 2.87, 5 Rh 2.88-2.91
Tl2 0.1797 0.0000 0.3606 (multiplicity 4)  5 Li 2.83-2.85, 4 Rh 2.85
Rh1 0.0000 0.0000 0.0000 (multiplicity 2)  8 Tl 2.91
Rh2 0.1332 0.5000 0.2678 (multiplicity 4)  4 Li 2.69, 5 Tl 2.85-2.88

Entry 8:
Compound: Li8TlRh2
Source: Alexandria via LeMat-Bulk
Functional: GGA-PBE
Structure: relaxed

Calculated values
The crystal system is orthorhombic. Its electronic total energy is -66.03 eV/cell. The energy relative to the elements is -57.8 meV per atom. The calculation puts the density at 4.2 g cm⁻³. Its total magnetic moment is 0.0 μB/f.u. As for the volume: 16.88 Å³ per atom.

Unit cell a=8.1842 b=10.5591 c=4.2982 alpha=90.00 beta=90.00 gamma=90.00
With the nearest neighbours (Å) after each atom.
Space group Cmmm (No. 65)
Asymmetric unit:
Li1 0.0000 0.2347 0.0000 (multiplicity 4)  2 Rh 2.47
Li2 0.1493 0.0000 0.0000 (multiplicity 4)  1 Li 2.44
Li3 0.1843 0.3586 0.5000 (multiplicity 8)  1 Li 2.53, 1 Rh 2.59
Tl1 0.0000 0.5000 0.0000 (multiplicity 2)  12 Li 2.80-3.02
Rh1 0.0000 0.1202 0.5000 (multiplicity 4)  4 Li 2.47-2.59, 1 Rh 2.54